A relaxed structure of Pm6ZnCd2. Source: the Alexandria database, functional GGA-PBE.

Results
symmetry	C2/m (12)
E_form	0.647	eV/f.u.

Geometry as extended XYZ:
```
9
Lattice="5.168 0.000 -0.171 0.000 7.445 0.000 -2.258 -3.723 7.821" Properties=species:S:1:pos:R:3 pbc="T T T"
Pm 0.101 5.634 2.519
Pm 2.584 5.695 -0.086
Pm 2.808 1.911 5.131
Pm 2.808 -1.911 5.131
Pm 2.584 1.750 -0.086
Pm 0.101 1.811 2.519
Cd 2.686 3.723 2.473
Cd 0.223 0.000 5.177
Zn 0.000 0.000 0.000
```